Material: CsLa2In2
Method: DFT, PBE
State: optimized geometry

Results
Its total magnetization is 0.00 μB per cell. The energy relative to the elements is -0.87 eV per formula unit. The energy above the most stable polymorph in this dataset comes out at 0.000 eV/atom. The total energy comes out at -3.412 eV/atom. The space group is No. 127.

Lattice parameters (Å, degrees): 9.8245 9.8245 3.6314 90.00 90.00 90.00
Closest atoms and distances in Å follow each position.
Sites, in units of the cell vectors:
1 La 0.1641 0.3359 0.0000  6 In 3.41, 2 La 3.63, 2 Cs 3.67
2 La 0.6641 0.1641 0.0000  6 In 3.41, 2 La 3.63, 2 Cs 3.67
3 La 0.8359 0.6641 0.0000  6 In 3.41, 2 La 3.63, 2 Cs 3.67
4 La 0.3359 0.8359 0.0000  6 In 3.41, 2 La 3.63, 2 Cs 3.67
5 Cs 0.5000 0.5000 0.0000  2 Cs 3.63, 4 La 3.67
6 Cs 0.0000 0.0000 0.0000  2 Cs 3.63, 4 La 3.67
7 In 0.1279 0.6279 0.5000  6 La 3.41, 3 In 3.55-3.63
8 In 0.8721 0.3721 0.5000  6 La 3.41, 3 In 3.55-3.63
9 In 0.3721 0.1279 0.5000  6 La 3.41, 3 In 3.55-3.63
10 In 0.6279 0.8721 0.5000  6 La 3.41, 3 In 3.55-3.63